GaB3Pb: optimized geometry, PBE.

a = 4.294 Å, b = 4.294 Å, c = 4.294 Å
α = 90.00°, β = 90.00°, γ = 90.00°
Fractional positions:
Pb: 0.500 0.500 0.500
Ga: 0.000 0.000 0.000
B: 0.000 0.500 0.000
B: 0.000 0.000 0.500
B: 0.500 0.000 0.000

V = 79.18 Å³/cell
Energy relative to the lowest polymorph listed for this composition = 0.000 eV/atom
Formation energy = 1728.2 meV per atom